[1]
A relaxed PrZr2 crystal. Source: OQMD, functional PBE.

The structure belongs to space group Cmcm (No. 63); the cell edges are 10.6747, 5.6965 and 5.3577 Å and the angles 90.00°, 90.00° and 90.00°. The asymmetric unit holds Pr at (0.0000, 0.2019, 0.2500) and Zr at (0.1872, 0.3389, 0.7500).

The calculation puts the polymorph energy (0 for the lowest one) at 26.5 meV per atom. As for the crystal system: orthorhombic. As for the density: 6.59 g cm⁻³. The calculation puts the volume at 27.1 Å³/atom. The energy comes out at -7.1601 eV per atom.

=====

[2]
A relaxed Pr2Zr crystal. Source: OQMD, functional PBE.

The structure belongs to space group Fd-3m (No. 227, origin choice 2); the cell edges are 12.5549, 12.5549 and 12.5549 Å and the angles 90.00°, 90.00° and 90.00°. The asymmetric unit holds Pr at (0.0000, 0.0000, 0.0000) and Zr at (0.1250, 0.1250, 0.1250).

The calculation puts the polymorph energy (0 for the lowest one) at 1347.1 meV per atom. As for the crystal system: cubic. As for the density: 2.50 g cm⁻³. The calculation puts the volume at 82.5 Å³/atom. The energy comes out at -4.0696 eV per atom.

=====

[3]
A relaxed Pr2Zr crystal. Source: OQMD, functional PBE.

The structure belongs to space group Fd-3m (No. 227, origin choice 2); the cell edges are 9.0889, 9.0889 and 9.0889 Å and the angles 90.00°, 90.00° and 90.00°. The asymmetric unit holds Pr at (0.0000, 0.0000, 0.0000) and Zr at (0.1250, 0.1250, 0.6250).

The calculation puts the polymorph energy (0 for the lowest one) at 0.0 meV per atom. As for the crystal system: cubic. As for the density: 6.60 g cm⁻³. The calculation puts the volume at 31.3 Å³/atom. The energy comes out at -5.4167 eV per atom.

=====

[4]
A relaxed PrZr2 crystal. Source: OQMD, functional PBE.

The structure belongs to space group Cmcm (No. 63); the cell edges are 3.3239, 18.2499 and 5.3672 Å and the angles 90.00°, 90.00° and 90.00°. The asymmetric unit holds Pr at (0.0000, 0.0605, 0.2500), Zr at (0.0000, 0.2741, 0.7500) and Zr at (0.0000, 0.3697, 0.2500).

The calculation puts the polymorph energy (0 for the lowest one) at 0.0 meV per atom. As for the crystal system: orthorhombic. As for the density: 6.60 g cm⁻³. The calculation puts the volume at 27.1 Å³/atom. The energy comes out at -7.1866 eV per atom.

=====

[5]
A relaxed PrZr2 crystal. Source: OQMD, functional PBE.

The structure belongs to space group Fd-3m (No. 227, origin choice 2); the cell edges are 11.9703, 11.9703 and 11.9703 Å and the angles 90.00°, 90.00° and 90.00°. The asymmetric unit holds Pr at (0.1250, 0.1250, 0.1250) and Zr at (0.0000, 0.0000, 0.0000).

The calculation puts the polymorph energy (0 for the lowest one) at 3026.9 meV per atom. As for the crystal system: cubic. As for the density: 2.50 g cm⁻³. The calculation puts the volume at 71.5 Å³/atom. The energy comes out at -4.1597 eV per atom.

=====

[6]
A relaxed PrZr2 crystal. Source: OQMD, functional PBE.

The structure belongs to space group P-62m (No. 189); the cell edges are 5.8542, 5.8542 and 5.4053 Å and the angles 90.00°, 90.00° and 120.00°. The asymmetric unit holds Pr at (0.3333, 0.6667, 0.0000), Zr at (0.0000, 0.0000, 0.0000) and Zr at (0.0000, 0.6928, 0.5000).

The calculation puts the polymorph energy (0 for the lowest one) at 71.6 meV per atom. As for the crystal system: hexagonal. As for the density: 6.69 g cm⁻³. The calculation puts the volume at 26.7 Å³/atom. The energy comes out at -7.1150 eV per atom.

=====

[7]
A relaxed PrZr2 crystal. Source: OQMD, functional PBE.

The structure belongs to space group Pmmn (No. 59, origin choice 2); the cell edges are 5.4027, 10.0870 and 5.8776 Å and the angles 90.00°, 90.00° and 90.00°. The asymmetric unit holds Pr at (0.2500, 0.0860, 0.0923), Zr at (0.2500, 0.2500, 0.5947), Zr at (0.2500, 0.5941, 0.5627) and Zr at (0.2500, 0.7500, 0.1012).

The calculation puts the polymorph energy (0 for the lowest one) at 62.0 meV per atom. As for the crystal system: orthorhombic. As for the density: 6.71 g cm⁻³. The calculation puts the volume at 26.7 Å³/atom. The energy comes out at -7.1246 eV per atom.

=====

[8]
A relaxed Pr3Zr4 crystal. Source: OQMD, functional PBE.

The structure belongs to space group P6_3/m (No. 176); the cell edges are 9.1524, 9.1524 and 5.4036 Å and the angles 90.00°, 90.00° and 120.00°. The asymmetric unit holds Pr at (0.0658, 0.8006, 0.2500), Zr at (0.1112, 0.6007, 0.7500) and Zr at (0.3333, 0.6667, 0.2500).

The calculation puts the polymorph energy (0 for the lowest one) at 0.0 meV per atom. As for the crystal system: hexagonal. As for the density: 6.67 g cm⁻³. The calculation puts the volume at 28.0 Å³/atom. The energy comes out at -6.7895 eV per atom.

=====

[9]
A relaxed PrZr2 crystal. Source: OQMD, functional PBE.

The structure belongs to space group Pmmn (No. 59, origin choice 2); the cell edges are 3.2922, 5.4839 and 17.5047 Å and the angles 90.00°, 90.00° and 90.00°. The asymmetric unit holds Pr at (0.2500, 0.2500, 0.1326), Pr at (0.2500, 0.7500, 0.3671), Zr at (0.2500, 0.2500, 0.4631), Zr at (0.2500, 0.2500, 0.8009), Zr at (0.2500, 0.7500, 0.0367) and Zr at (0.2500, 0.7500, 0.6986).

The calculation puts the polymorph energy (0 for the lowest one) at 90.1 meV per atom. As for the crystal system: orthorhombic. As for the density: 6.80 g cm⁻³. The calculation puts the volume at 26.3 Å³/atom. The energy comes out at -7.0965 eV per atom.

=====

[10]
A relaxed Pr3Zr4 crystal. Source: OQMD, functional PBE.

The structure belongs to space group P6_3/m (No. 176); the cell edges are 9.1094, 9.1094 and 5.4840 Å and the angles 90.00°, 90.00° and 120.00°. The asymmetric unit holds Pr at (0.0946, 0.4597, 0.2500), Zr at (0.0516, 0.2176, 0.7500) and Zr at (0.3333, 0.6667, 0.7500).

The calculation puts the polymorph energy (0 for the lowest one) at 21.8 meV per atom. As for the crystal system: hexagonal. As for the density: 6.64 g cm⁻³. The calculation puts the volume at 28.2 Å³/atom. The energy comes out at -6.7677 eV per atom.

=====

[11]
A relaxed PuPt crystal. Source: OQMD, functional PBE.

The structure belongs to space group F-43m (No. 216); the cell edges are 6.2867, 6.2867 and 6.2867 Å and the angles 90.00°, 90.00° and 90.00°. The asymmetric unit holds Pu at (0.0000, 0.0000, 0.0000) and Pt at (0.2500, 0.2500, 0.2500).

As for the crystal system: cubic. As for the density: 11.74 g cm⁻³. The calculation puts the volume at 31.1 Å³/atom. The energy comes out at -10.2073 eV per atom.